one:
Crystalline SiAsSe2S at its relaxed geometry, computed with GGA-PBE.

abc: 4.822 4.822 4.843
angles: 90.00 90.00 90.00
Atoms (fractional coordinates):
Se 0.000 0.500 0.000
Se 0.500 0.000 0.000
Si 0.500 0.500 0.500
As 0.000 0.000 0.500
S 0.000 0.000 0.000

Properties
As for the space group: No. 123. The value obtained for the density of states at the Fermi level is 3.967 states/eV/f.u.

two:
Crystalline SiAsSe2S at its relaxed geometry, computed with GGA-PBE.

abc: 4.686 4.686 5.011
angles: 90.00 90.00 90.00
Last column: magnetic moment on the atom in μB.
Atoms (fractional coordinates):
Se 0.500 0.000 0.000  0.02
Se 0.000 0.500 0.000  0.02
Si 0.000 0.000 0.000  0.00
S 0.500 0.500 0.500  0.13
As 0.000 0.000 0.500  -0.02

Properties
As for the space group: No. 123. The value obtained for the density of states at the Fermi level is 5.048 states/eV/f.u.

According to the calculations, the structures order from most to least stable as two, one.

one:
Crystalline SrAs2SeS at its relaxed geometry, computed with GGA-PBE.

abc: 4.929 4.929 5.071
angles: 90.00 90.00 90.00
Atoms (fractional coordinates):
Sr 0.500 0.500 0.500
As 0.500 0.000 0.000
As 0.000 0.500 0.000
Se 0.000 0.000 0.500
S 0.000 0.000 0.000

Properties
As for the space group: No. 123. The value obtained for the density of states at the Fermi level is 1.831 states/eV/f.u.

two:
Crystalline SrAs2SeS at its relaxed geometry, computed with GGA-PBE.

abc: 5.847 5.847 5.672
angles: 90.00 90.00 90.00
Last column: magnetic moment on the atom in μB.
Atoms (fractional coordinates):
As 0.500 0.000 0.000  -0.21
As 0.000 0.500 0.000  -0.21
Se 0.000 0.000 0.500  0.34
S 0.500 0.500 0.500  0.92
Sr 0.000 0.000 0.000  0.00

Properties
As for the space group: No. 123. The value obtained for the density of states at the Fermi level is 6.986 states/eV/f.u.

According to the calculations, the structures order from most to least stable as one, two.

one:
Crystalline TcAsSe2S at its relaxed geometry, computed with GGA-PBE.

abc: 4.643 4.643 4.695
angles: 90.00 90.00 90.00
Atoms (fractional coordinates):
Se 0.000 0.500 0.000
Se 0.500 0.000 0.000
Tc 0.500 0.500 0.500
As 0.000 0.000 0.500
S 0.000 0.000 0.000

Properties
As for the space group: No. 123. The value obtained for the density of states at the Fermi level is 5.978 states/eV/f.u.

two:
Crystalline TcAsSe2S at its relaxed geometry, computed with GGA-PBE.

abc: 4.733 4.733 5.015
angles: 90.00 90.00 90.00
Atoms (fractional coordinates):
S 0.500 0.500 0.500
Se 0.500 0.000 0.000
Se 0.000 0.500 0.000
Tc 0.000 0.000 0.000
As 0.000 0.000 0.500

Properties
As for the space group: No. 123. The value obtained for the density of states at the Fermi level is 5.391 states/eV/f.u.

According to the calculations, the structures order from most to least stable as two, one.

one:
Crystalline TeAs2SeS at its relaxed geometry, computed with GGA-PBE.

abc: 5.412 5.412 5.239
angles: 90.00 90.00 90.00
Last column: magnetic moment on the atom in μB.
Atoms (fractional coordinates):
As 0.500 0.000 0.000  0.27
As 0.000 0.500 0.000  0.27
Te 0.000 0.000 0.000  0.01
Se 0.000 0.000 0.500  -0.08
S 0.500 0.500 0.500  -0.54

Properties
As for the space group: No. 123. The value obtained for the density of states at the Fermi level is 5.708 states/eV/f.u.

two:
Crystalline TeAs2SeS at its relaxed geometry, computed with GGA-PBE.

abc: 4.934 4.934 4.770
angles: 90.00 90.00 90.00
Atoms (fractional coordinates):
As 0.000 0.500 0.000
As 0.500 0.000 0.000
Te 0.500 0.500 0.500
Se 0.000 0.000 0.500
S 0.000 0.000 0.000

Properties
As for the space group: No. 123. The value obtained for the density of states at the Fermi level is 4.420 states/eV/f.u.

According to the calculations, the structures order from most to least stable as two, one.